Entry 1:
# PBE-GGA Hf6Co5Tc, optimized geometry
# **Formation energy**: -0.423 eV per atom
# **DOS at the Fermi energy**: 0.797 states/eV/atom
data_Hf6Co5Tc
_symmetry_space_group_name_H-M 'P 1'
_symmetry_Int_Tables_number 1
_cell_length_a 7.7656
_cell_length_b 7.7656
_cell_length_c 4.4952
_cell_angle_alpha 106.62
_cell_angle_beta 106.62
_cell_angle_gamma 47.90
loop_
_symmetry_equiv_pos_as_xyz
'x,y,z'
loop_
_atom_site_label
_atom_site_fract_x
_atom_site_fract_y
_atom_site_fract_z
Hf1 0.0796 0.5841 0.3320
Hf2 0.2457 0.7543 0.0000
Hf3 0.4159 0.9204 0.6680
Hf4 0.5841 0.0796 0.3320
Hf5 0.7543 0.2457 0.0000
Hf6 0.9204 0.4159 0.6680
Co1 0.0000 0.0000 0.5000
Co2 0.1706 0.1706 0.1703
Co3 0.3354 0.3354 0.8366
Co4 0.6646 0.6646 0.1634
Co5 0.8294 0.8294 0.8297
Tc1 0.5000 0.5000 0.5000


Entry 2:
# PBE-GGA HfCo2Tc2, optimized geometry
# **Formation energy**: 0.120 eV per atom
# **Excess energy over the best structure of this formula in the dataset**: 0.1197 eV per atom
# **DOS at the Fermi energy**: 0.660 states/eV/atom
data_HfCo2Tc2
_symmetry_space_group_name_H-M 'P 1'
_symmetry_Int_Tables_number 1
_cell_length_a 3.8608
_cell_length_b 3.8608
_cell_length_c 10.4132
_cell_angle_alpha 90.00
_cell_angle_beta 90.00
_cell_angle_gamma 90.00
loop_
_symmetry_equiv_pos_as_xyz
'x,y,z'
loop_
_atom_site_label
_atom_site_fract_x
_atom_site_fract_y
_atom_site_fract_z
Hf1 0.0000 0.0000 0.0000
Hf2 0.5000 0.5000 0.5000
Co1 0.0000 0.5000 0.2500
Co2 0.0000 0.5000 0.7500
Co3 0.5000 0.0000 0.2500
Co4 0.5000 0.0000 0.7500
Tc1 0.0000 0.0000 0.3887
Tc2 0.0000 0.0000 0.6113
Tc3 0.5000 0.5000 0.1113
Tc4 0.5000 0.5000 0.8887


Entry 3:
# PBE-GGA Hf6CoTc, optimized geometry
# **Formation energy**: -0.059 eV per atom
# **DOS at the Fermi energy**: 0.905 states/eV/atom
data_Hf6CoTc
_symmetry_space_group_name_H-M 'P 1'
_symmetry_Int_Tables_number 1
_cell_length_a 6.3841
_cell_length_b 8.8363
_cell_length_c 5.7957
_cell_angle_alpha 90.00
_cell_angle_beta 106.62
_cell_angle_gamma 90.00
loop_
_symmetry_equiv_pos_as_xyz
'x,y,z'
loop_
_atom_site_label
_atom_site_fract_x
_atom_site_fract_y
_atom_site_fract_z
Hf1 0.0840 0.2451 0.2707
Hf2 0.0840 0.7549 0.2707
Hf3 0.2442 0.5000 0.0025
Hf4 0.2558 0.0000 0.9975
Hf5 0.4160 0.2549 0.7293
Hf6 0.4160 0.7451 0.7293
Hf7 0.5840 0.2549 0.2707
Hf8 0.5840 0.7451 0.2707
Hf9 0.7442 0.0000 0.0025
Hf10 0.7558 0.5000 0.9975
Hf11 0.9160 0.2451 0.7293
Hf12 0.9160 0.7549 0.7293
Co1 0.0000 0.0000 0.5000
Co2 0.5000 0.5000 0.5000
Tc1 0.0000 0.5000 0.5000
Tc2 0.5000 0.0000 0.5000


Entry 4:
# PBE-GGA Hf3Co2Tc, optimized geometry
# **Formation energy**: -0.463 eV per atom
# **Excess energy over the best structure of this formula in the dataset**: 0.0000 eV per atom
# **DOS at the Fermi energy**: 0.488 states/eV/atom
data_Hf3Co2Tc
_symmetry_space_group_name_H-M 'P 1'
_symmetry_Int_Tables_number 1
_cell_length_a 3.2163
_cell_length_b 3.2163
_cell_length_c 9.4186
_cell_angle_alpha 90.00
_cell_angle_beta 90.00
_cell_angle_gamma 90.00
loop_
_symmetry_equiv_pos_as_xyz
'x,y,z'
loop_
_atom_site_label
_atom_site_fract_x
_atom_site_fract_y
_atom_site_fract_z
Hf1 0.0000 0.0000 0.0000
Hf2 0.0000 0.0000 0.3303
Hf3 0.0000 0.0000 0.6697
Co1 0.5000 0.5000 0.1587
Co2 0.5000 0.5000 0.8413
Tc1 0.5000 0.5000 0.5000